Entry A
The following is a PBE calculation of crystalline TlH2I at its relaxed geometry, from Alexandria.

The structure belongs to space group P2_1/m (No. 11); the cell edges are 4.9614, 4.9063 and 8.9251 Å and the angles 90.00°, 90.04° and 90.00°. The inequivalent atoms are Tl at (0.2501, 0.2500, 0.1978), H at (0.2495, 0.6733, 0.5167) and I at (0.2500, 0.2500, 0.8271).

=====

Entry B
The following is a PBE calculation of crystalline TlH2I at its relaxed geometry, from Alexandria.

The structure belongs to space group I4_1/amd (No. 141, origin choice 2); the cell edges are 6.2322, 6.2322 and 8.8405 Å and the angles 90.00°, 90.00° and 90.00°. The inequivalent atoms are Tl at (0.0000, 0.2500, 0.3750), H at (0.0000, 0.0000, 0.5000) and I at (0.0000, 0.2500, 0.8750).

=====

entry A (0.677 eV/atom below the next structure)

=====

Entry A
The following is a PBE calculation of crystalline Tl3HI at its relaxed geometry, from Alexandria.

The structure belongs to space group Pm-3m (No. 221); the cell edges are 5.2866, 5.2866 and 5.2866 Å and the angles 90.00°, 90.00° and 90.00°. The inequivalent atoms are Tl at (0.0000, 0.0000, 0.5000), H at (0.0000, 0.0000, 0.0000) and I at (0.5000, 0.5000, 0.5000).

=====

Entry B
The following is a PBE calculation of crystalline Tl3HI at its relaxed geometry, from Alexandria.

The structure belongs to space group Pm-3m (No. 221); the cell edges are 6.5290, 6.5290 and 6.5290 Å and the angles 90.00°, 90.00° and 90.00°. The inequivalent atoms are Tl at (0.0000, 0.0000, 0.5000), H at (0.5000, 0.5000, 0.5000) and I at (0.0000, 0.0000, 0.0000).

=====

entry A (0.517 eV/atom below the next structure)

=====

Entry A
The following is a PBE calculation of crystalline Tl2HI at its relaxed geometry, from Alexandria.

The structure belongs to space group I-42d (No. 122); the cell edges are 7.9965, 7.9965 and 7.4551 Å and the angles 90.00°, 90.00° and 90.00°. The inequivalent atoms are Tl at (0.1413, 0.2500, 0.1250), H at (0.0000, 0.0000, 0.0000) and I at (0.0000, 0.0000, 0.5000).

=====

Entry B
The following is a PBE calculation of crystalline Tl2HI at its relaxed geometry, from Alexandria.

The structure belongs to space group Fm-3m (No. 225); the cell edges are 7.9577, 7.9577 and 7.9577 Å and the angles 90.00°, 90.00° and 90.00°. The inequivalent atoms are Tl at (0.2500, 0.2500, 0.2500), H at (0.0000, 0.0000, 0.0000) and I at (0.0000, 0.0000, 0.5000).

=====

entry A (0.197 eV/atom below the next structure)

=====

Entry A
The following is a PBE calculation of crystalline UHI3 at its relaxed geometry, from Alexandria.

The structure belongs to space group Pnma (No. 62); the cell edges are 16.4271, 4.6046 and 10.9485 Å and the angles 90.00°, 90.00° and 90.00°. The inequivalent atoms are U at (0.0218, 0.2500, 0.1937), H at (0.0085, 0.7500, 0.6337), I at (0.0858, 0.2500, 0.7176), I at (0.1063, 0.7500, 0.0334) and I at (0.1721, 0.2500, 0.3302).

=====

Entry B
The following is a PBE calculation of crystalline UHI3 at its relaxed geometry, from Alexandria.

The structure belongs to space group C2/m (No. 12); the cell edges are 10.5171, 9.5863 and 7.7920 Å and the angles 90.00°, 121.23° and 90.00°. The inequivalent atoms are U at (0.1214, 0.0000, 0.3806), H at (0.0867, 0.0000, 0.6288), I at (0.0793, 0.3156, 0.2987) and I at (0.1898, 0.0000, 0.0373).

=====

entry B (0.050 eV/atom below the next structure)

=====

Entry A
The following is a PBE calculation of crystalline HW3I at its relaxed geometry, from Alexandria.

The structure belongs to space group Pm-3m (No. 221); the cell edges are 4.8908, 4.8908 and 4.8908 Å and the angles 90.00°, 90.00° and 90.00°. The inequivalent atoms are H at (0.0000, 0.0000, 0.0000), W at (0.0000, 0.5000, 0.5000) and I at (0.5000, 0.5000, 0.5000).

=====

Entry B
The following is a PBE calculation of crystalline HW3I at its relaxed geometry, from Alexandria.

The structure belongs to space group Pm-3m (No. 221); the cell edges are 4.1899, 4.1899 and 4.1899 Å and the angles 90.00°, 90.00° and 90.00°. The inequivalent atoms are H at (0.0000, 0.0000, 0.0000), W at (0.0000, 0.0000, 0.5000) and I at (0.5000, 0.5000, 0.5000).

=====

entry B (2.224 eV/atom below the next structure)

=====

Entry A
The following is a PBE calculation of crystalline ZnHI3 at its relaxed geometry, from Alexandria.

The structure belongs to space group P-1 (No. 2); the cell edges are 4.3399, 9.7680 and 9.8928 Å and the angles 69.90°, 84.49° and 87.68°. The inequivalent atoms are Zn at (0.1074, 0.2714, 0.4068), H at (0.4985, 0.0225, 0.9606), I at (0.0415, 0.1607, 0.6857), I at (0.2857, 0.5365, 0.2775) and I at (0.3479, 0.8172, 0.7102).

=====

Entry B
The following is a PBE calculation of crystalline ZnHI3 at its relaxed geometry, from Alexandria.

The structure belongs to space group Pm-3m (No. 221); the cell edges are 5.6338, 5.6338 and 5.6338 Å and the angles 90.00°, 90.00° and 90.00°. The inequivalent atoms are Zn at (0.0000, 0.0000, 0.0000), H at (0.5000, 0.5000, 0.5000) and I at (0.0000, 0.0000, 0.5000).

=====

entry A (0.640 eV/atom below the next structure)

=====

Entry A
The following is a PBE calculation of crystalline ZnH3I at its relaxed geometry, from Alexandria.

The structure belongs to space group Pm-3m (No. 221); the cell edges are 3.8995, 3.8995 and 3.8995 Å and the angles 90.00°, 90.00° and 90.00°. The inequivalent atoms are Zn at (0.0000, 0.0000, 0.0000), H at (0.0000, 0.0000, 0.5000) and I at (0.5000, 0.5000, 0.5000).

=====

Entry B
The following is a PBE calculation of crystalline ZnH3I at its relaxed geometry, from Alexandria.

The structure belongs to space group Pm-3m (No. 221); the cell edges are 4.2290, 4.2290 and 4.2290 Å and the angles 90.00°, 90.00° and 90.00°. The inequivalent atoms are Zn at (0.0000, 0.0000, 0.0000), H at (0.0000, 0.5000, 0.5000) and I at (0.5000, 0.5000, 0.5000).

=====

entry A (0.109 eV/atom below the next structure)

=====

Entry A
The following is a PBE calculation of crystalline ZrH2I2 at its relaxed geometry, from Alexandria.

The structure belongs to space group P4/mbm (No. 127); the cell edges are 6.4075, 6.4075 and 4.5932 Å and the angles 90.00°, 90.00° and 90.00°. The inequivalent atoms are Zr at (0.0000, 0.0000, 0.0000), H at (0.1769, 0.3231, 0.0000) and I at (0.1786, 0.6786, 0.5000).

=====

Entry B
The following is a PBE calculation of crystalline ZrH2I2 at its relaxed geometry, from Alexandria.

The structure belongs to space group I4/mmm (No. 139); the cell edges are 5.2322, 5.2322 and 7.3587 Å and the angles 90.00°, 90.00° and 90.00°. The inequivalent atoms are Zr at (0.0000, 0.0000, 0.0000), H at (0.0000, 0.0000, 0.4486) and I at (0.0000, 0.5000, 0.2500).

=====

entry B (0.509 eV/atom below the next structure)